First-principles (GGA+U) data for an optimized crystal structure of AlV2PbO6, as listed in Alexandria.

- Final energy: -143.8 eV/cell
- Symmetry: No. 15
- D(E_F): 2.6 states/eV per cell
- Total moment: 3.00 μB per formula unit

The structure in CIF format:
```
data_AlV2PbO6
_symmetry_space_group_name_H-M 'P 1'
_symmetry_Int_Tables_number 1
_cell_length_a 7.541
_cell_length_b 7.541
_cell_length_c 6.378
_cell_angle_alpha 109.43
_cell_angle_beta 109.43
_cell_angle_gamma 85.66
loop_
_symmetry_equiv_pos_as_xyz
'x,y,z'
loop_
_atom_site_label
_atom_site_fract_x
_atom_site_fract_y
_atom_site_fract_z
Al1 0.200 0.800 0.750
Al2 0.800 0.200 0.250
V1 0.230 0.378 0.336
V2 0.378 0.230 0.836
V3 0.622 0.770 0.164
V4 0.770 0.622 0.664
Pb1 0.127 0.873 0.250
Pb2 0.873 0.127 0.750
O1 0.018 0.202 0.197
O2 0.192 0.629 0.481
O3 0.202 0.018 0.697
O4 0.276 0.367 0.065
O5 0.367 0.276 0.565
O6 0.371 0.808 0.019
O7 0.629 0.192 0.981
O8 0.633 0.724 0.435
O9 0.724 0.633 0.935
O10 0.798 0.982 0.303
O11 0.808 0.371 0.519
O12 0.982 0.798 0.803
```